No. 1
Compound: Pr5Ho7
Source: Alexandria
Functional: PBE-GGA
Structure: relaxed

energy of formation	2.1	eV per formula unit
E above lowest polymorph	172	meV per atom
V	404.7	Å³/f.u.
raw total energy	-4.4830	eV/atom
DOS(E_F)	1.64	states/eV per atom
spin magnetization	0.23	μB/f.u.

Cell: 5.773 5.645 14.863 Å, 101.59 90.00 120.76°
Fractional coordinates of all 12 atoms:
Pr 0.138 0.276 0.435
Pr 0.862 0.724 0.565
Pr 0.386 0.772 0.202
Pr 0.614 0.228 0.798
Pr 0.000 0.000 0.000
Ho 0.237 0.475 0.673
Ho 0.763 0.525 0.327
Ho 0.053 0.106 0.215
Ho 0.947 0.894 0.785
Ho 0.686 0.372 0.084
Ho 0.500 0.000 0.500
Ho 0.314 0.628 0.916

=====

No. 2
Compound: ScMo2Pt
Source: Alexandria
Functional: PBE-GGA
Structure: relaxed

energy of formation	-0.6	eV per formula unit
E above lowest polymorph	158	meV per atom
V	66.9	Å³/f.u.
raw total energy	-8.6608	eV/atom
DOS(E_F)	0.80	states/eV per atom
spin magnetization	0.00	μB/f.u.

Cell: 4.802 2.769 5.119 Å, 79.19 90.00 90.00°
Fractional coordinates of all 4 atoms:
Mo 0.000 0.025 0.990
Mo 0.000 0.475 0.510
Pt 0.500 0.250 0.250
Sc 0.500 0.750 0.750

=====

No. 3
Compound: CeAl3H
Source: Alexandria
Functional: PBE-GGA
Structure: relaxed

V	84.1	Å³/f.u.
raw total energy	-4.2057	eV/atom
DOS(E_F)	1.14	states/eV per atom
spin magnetization	0.61	μB/f.u.

Cell: 4.380 4.380 4.380 Å, 90.00 90.00 90.00°
Fractional coordinates of all 5 atoms:
H 0.000 0.000 0.000
Al 0.000 0.500 0.000
Al 0.000 0.000 0.500
Al 0.500 0.000 0.000
Ce 0.500 0.500 0.500

=====

No. 4
Compound: Ce2SbC
Source: Alexandria
Functional: PBE-GGA
Structure: relaxed

uncorrected formation energy	-58	kJ/mol of atoms
V	98.9	Å³/f.u.
raw total energy	-6.9025	eV/atom
DOS(E_F)	1.73	states/eV per atom
spin magnetization	0.82	μB/f.u.

Cell: 4.653 4.653 9.133 Å, 90.00 90.00 90.03°
Fractional coordinates of all 8 atoms:
Ce 0.750 0.750 0.838
Ce 0.750 0.250 0.500
Ce 0.250 0.250 0.162
Ce 0.250 0.750 0.500
Sb 0.250 0.250 0.798
Sb 0.750 0.750 0.202
C 0.250 0.250 0.406
C 0.750 0.750 0.594

=====

No. 5
Compound: TlCd2Au2
Source: Alexandria
Functional: PBE-GGA
Structure: relaxed

energy of formation	-0.6	eV per formula unit
E above lowest polymorph	0	meV per atom
V	110.7	Å³/f.u.
raw total energy	-2.2711	eV/atom
DOS(E_F)	0.23	states/eV per atom
spin magnetization	0.00	μB/f.u.

Cell: 8.496 8.496 3.068 Å, 90.00 90.00 90.00°
Fractional coordinates of all 10 atoms:
Tl 0.000 0.000 0.000
Tl 0.500 0.500 0.000
Au 0.339 0.839 0.000
Au 0.839 0.661 0.000
Au 0.661 0.161 0.000
Au 0.161 0.339 0.000
Cd 0.136 0.636 0.500
Cd 0.636 0.864 0.500
Cd 0.864 0.364 0.500
Cd 0.364 0.136 0.500

=====

No. 6
Compound: TlCd5Hg8
Source: Alexandria
Functional: PBE-GGA
Structure: relaxed

energy of formation	0.3	eV per formula unit
V	365.8	Å³/f.u.
raw total energy	-0.6441	eV/atom
DOS(E_F)	0.37	states/eV per atom
spin magnetization	0.00	μB/f.u.

Cell: 7.804 7.804 7.804 Å, 109.88 108.65 109.88°
Fractional coordinates of all 14 atoms:
Tl 0.250 0.500 0.750
Cd 0.037 0.379 0.131
Cd 0.869 0.906 0.248
Cd 0.752 0.621 0.657
Cd 0.500 0.000 0.500
Cd 0.343 0.094 0.963
Hg 0.124 0.757 0.057
Hg 0.943 0.067 0.700
Hg 0.762 0.260 0.356
Hg 0.644 0.406 0.904
Hg 0.498 0.594 0.238
Hg 0.632 0.933 0.876
Hg 0.300 0.243 0.368
Hg 0.096 0.740 0.502

=====

> Number 1 is which compound?

Pr5Ho7